This record from Alexandria via LeMat-Bulk describes a geometry-optimized RbVGa2O6 structure. The functional is PBE+U.

## Properties
Density of states at the Fermi level   0.0000 states/eV per atom
Total DFT energy (no corrections)   -6.2855 eV per atom

Lattice parameters (Å, degrees): 8.954 12.063 6.288 90.00 112.20 90.00
Space group C2/c (No. 15)
Unique sites:
Rb: 0.000 0.101 0.250 x4
V: 0.000 0.204 0.750 x4
Ga: 0.122 0.427 0.146 x8
O: 0.069 0.282 0.000 x8
O: 0.121 0.454 0.447 x8
O: 0.149 0.113 0.740 x8